Record 1
VASP calculation (GGA-PBE) on a relaxed Ho3TmTl3 crystal.

a = 9.322 Å, b = 9.322 Å, c = 5.233 Å
α = 90.00°, β = 90.00°, γ = 120.00°
Fractional coordinates of all 14 atoms:
Ho (0.004, 0.234, 0.250)
Ho (0.230, 0.996, 0.250)
Ho (0.234, 0.230, 0.750)
Ho (0.766, 0.770, 0.250)
Ho (0.770, 0.004, 0.750)
Ho (0.996, 0.766, 0.750)
Tm (0.333, 0.667, 0.250)
Tm (0.667, 0.333, 0.750)
Tl (0.073, 0.451, 0.750)
Tl (0.378, 0.927, 0.750)
Tl (0.451, 0.378, 0.250)
Tl (0.549, 0.622, 0.750)
Tl (0.622, 0.073, 0.250)
Tl (0.927, 0.549, 0.250)

## Properties
* raw total energy: -3.81 eV/atom
* energy of formation: -190 meV per atom
* magnetization: 0.0 μB/f.u.
* volume: 393.84 Å³ per cell



Record 2
VASP calculation (GGA-PBE) on a relaxed Ho7Tm2Tl2 crystal.

a = 11.081 Å, b = 11.081 Å, c = 11.081 Å
α = 161.21°, β = 55.18°, γ = 128.64°
Fractional coordinates of all 11 atoms:
Ho (0.000, 0.000, 0.000)
Ho (0.002, 0.343, 0.659)
Ho (0.083, 0.716, 0.367)
Ho (0.349, 0.716, 0.633)
Ho (0.403, 0.534, 0.868)
Ho (0.666, 0.534, 0.132)
Ho (0.684, 0.343, 0.341)
Tm (0.350, 0.350, 0.000)
Tm (0.675, 0.175, 0.500)
Tl (0.298, 0.056, 0.243)
Tl (0.813, 0.056, 0.757)

## Properties
* raw total energy: -4.18 eV/atom
* energy of formation: -20 meV per atom
* magnetization: 0.7 μB/f.u.
* volume: 341.28 Å³ per cell



> The lowest raw total energy belongs to which entry?

Ho7Tm2Tl2



> Which value of magnetization does entry 2 give?

0.7 μB/f.u.



> What is the energy of formation in the second record?

-20 meV per atom